# Er2InSb

Er2InSb after structural relaxation (PBE, the Alexandria database).

Summary:
The formation energy (no corrections) comes out at -0.734 eV/atom. Its symmetry is No. 63.

Lattice parameters (Å, degrees): 4.3153 4.4739 12.0429 100.70 90.00 90.00
With the nearest neighbours (Å) after each atom.
Sites, in units of the cell vectors:
Er (0.7500, 0.6823, 0.3646)  5 Sb 3.05-3.11, 1 In 3.30
Er (0.2500, 0.3177, 0.6354)  5 Sb 3.05-3.11, 1 In 3.30
Er (0.7500, 0.9371, 0.8742)  1 Sb 2.98, 4 In 3.14
Er (0.2500, 0.0629, 0.1258)  1 Sb 2.98, 4 In 3.14
In (0.2500, 0.4572, 0.9143)  2 In 2.96, 5 Er 3.14-3.30
In (0.7500, 0.5428, 0.0857)  2 In 2.96, 5 Er 3.14-3.30
Sb (0.2500, 0.1888, 0.3775)  6 Er 2.98-3.11
Sb (0.7500, 0.8112, 0.6225)  6 Er 2.98-3.11


# Er2InSb

Er2InSb after structural relaxation (PBE, the Alexandria database).

Summary:
The formation energy (no corrections) comes out at -0.609 eV/atom. Its symmetry is No. 123.

Lattice parameters (Å, degrees): 3.9271 3.9271 6.8201 90.00 90.00 90.00
With the nearest neighbours (Å) after each atom.
Sites, in units of the cell vectors:
Sb (0.5000, 0.5000, 0.0000)  8 Er 3.23, 2 In 3.41
In (0.5000, 0.5000, 0.5000)  8 Er 3.29, 2 Sb 3.41
Er (0.0000, 0.0000, 0.7578)  4 Sb 3.23, 4 In 3.29, 2 Er 3.30-3.52
Er (0.0000, 0.0000, 0.2422)  4 Sb 3.23, 4 In 3.29, 2 Er 3.30-3.52


# ErInSb2

ErInSb2 after structural relaxation (PBE, the Alexandria database).

Summary:
The formation energy (no corrections) comes out at -0.333 eV/atom. Its symmetry is No. 160.

Lattice parameters (Å, degrees): 4.5026 4.5026 7.4243 72.35 72.35 60.00
With the nearest neighbours (Å) after each atom.
Sites, in units of the cell vectors:
Er (0.6656, 0.6656, 0.0033)  6 Sb 3.05-3.11
In (0.4978, 0.4978, 0.5066)  6 Sb 3.13-3.23, 1 Er 3.50
Sb (0.0807, 0.0807, 0.7579)  3 Er 3.11, 3 In 3.13
Sb (0.2559, 0.2559, 0.2322)  3 Er 3.05, 3 In 3.23


# Er7In2Sb2

Er7In2Sb2 after structural relaxation (PBE, the Alexandria database).

Summary:
The formation energy (no corrections) comes out at -0.297 eV/atom. Its symmetry is No. 65.

Lattice parameters (Å, degrees): 6.8465 7.4401 6.8465 90.00 105.42 90.00
With the nearest neighbours (Å) after each atom.
Sites, in units of the cell vectors:
Er (0.9998, 0.2802, 0.5003)  2 Sb 2.96, 2 In 3.23-3.24, 1 Er 3.27
Er (0.5003, 0.7198, 0.9998)  2 Sb 2.96, 2 In 3.23-3.24, 1 Er 3.27
Er (0.0002, 0.7198, 0.4997)  2 Sb 2.96, 2 In 3.23-3.24, 1 Er 3.27
Er (0.4997, 0.2802, 0.0002)  2 Sb 2.96, 2 In 3.23-3.24, 1 Er 3.27
Er (0.0000, 0.0000, 0.0000)  2 Sb 3.10
Er (0.5002, 0.7303, 0.4998)  2 Sb 3.09, 2 In 3.19, 5 Er 3.42-3.43
Er (0.4998, 0.2697, 0.5002)  2 Sb 3.09, 2 In 3.19, 5 Er 3.42-3.43
In (0.8241, 0.5000, 0.8241)  1 In 2.92, 6 Er 3.19-3.24
In (0.1759, 0.5000, 0.1759)  1 In 2.92, 6 Er 3.19-3.24
Sb (0.7159, 0.0000, 0.2841)  7 Er 2.96-3.10
Sb (0.2841, 0.0000, 0.7159)  7 Er 2.96-3.10


# ErInSb2

ErInSb2 after structural relaxation (PBE, the Alexandria database).

Summary:
The formation energy (no corrections) comes out at -0.402 eV/atom. Its symmetry is No. 123.

Lattice parameters (Å, degrees): 4.0609 5.0885 5.0885 90.00 90.00 90.00
With the nearest neighbours (Å) after each atom.
Sites, in units of the cell vectors:
Sb (0.0000, 0.0000, 0.5000)  4 In 3.26, 4 Er 3.26, 4 Sb 3.60
Sb (0.0000, 0.5000, 0.0000)  4 In 3.26, 4 Er 3.26, 4 Sb 3.60
In (0.5000, 0.5000, 0.5000)  8 Sb 3.26, 4 Er 3.60
Er (0.5000, 0.0000, 0.0000)  8 Sb 3.26, 4 In 3.60


# Er5InSb2

Er5InSb2 after structural relaxation (PBE, the Alexandria database).

Summary:
The formation energy (no corrections) comes out at -0.359 eV/atom. Its symmetry is No. 63.

Lattice parameters (Å, degrees): 5.5640 6.3415 14.6983 90.00 90.00 116.02
With the nearest neighbours (Å) after each atom.
Sites, in units of the cell vectors:
Er (0.9251, 0.8502, 0.9039)  2 Sb 3.23-3.42, 6 Er 3.30-3.59, 1 In 3.32
Er (0.9251, 0.8502, 0.5961)  2 Sb 3.23-3.42, 6 Er 3.30-3.59, 1 In 3.32
Er (0.3788, 0.7576, 0.4493)  3 Sb 3.09, 1 In 3.11, 1 Er 3.14
Er (0.3788, 0.7576, 0.0507)  3 Sb 3.09, 1 In 3.11, 1 Er 3.14
Er (0.5807, 0.1613, 0.2500)  2 Sb 3.15, 1 In 3.33
Er (0.4193, 0.8387, 0.7500)  2 Sb 3.15, 1 In 3.33
Er (0.6212, 0.2424, 0.5507)  3 Sb 3.09, 1 In 3.11, 1 Er 3.14
Er (0.6212, 0.2424, 0.9493)  3 Sb 3.09, 1 In 3.11, 1 Er 3.14
Er (0.0749, 0.1498, 0.0961)  2 Sb 3.23-3.42, 6 Er 3.30-3.59, 1 In 3.32
Er (0.0749, 0.1498, 0.4039)  2 Sb 3.23-3.42, 6 Er 3.30-3.59, 1 In 3.32
In (0.7119, 0.4238, 0.7500)  5 Er 3.11-3.33, 4 Sb 3.44
In (0.2881, 0.5762, 0.2500)  5 Er 3.11-3.33, 4 Sb 3.44
Sb (0.7925, 0.5851, 0.3874)  6 Er 3.09-3.42, 2 In 3.44
Sb (0.7925, 0.5851, 0.1126)  6 Er 3.09-3.42, 2 In 3.44
Sb (0.2075, 0.4149, 0.6126)  6 Er 3.09-3.42, 2 In 3.44
Sb (0.2075, 0.4149, 0.8874)  6 Er 3.09-3.42, 2 In 3.44


# Er4InSb2

Er4InSb2 after structural relaxation (PBE, the Alexandria database).

Summary:
The formation energy (no corrections) comes out at -0.594 eV/atom. Its symmetry is No. 70.

Lattice parameters (Å, degrees): 8.2616 8.2616 8.2539 108.92 108.92 110.62
With the nearest neighbours (Å) after each atom.
Sites, in units of the cell vectors:
Er (0.9366, 0.2491, 0.3120)  3 Sb 2.99-3.06, 1 In 3.06
Er (0.3135, 0.5010, 0.1882)  3 Sb 2.99-3.06, 1 In 3.06
Er (0.9372, 0.6247, 0.6881)  3 Sb 2.99-3.06, 1 In 3.06
Er (0.7509, 0.0634, 0.6881)  3 Sb 2.99-3.06, 1 In 3.06
Er (0.3753, 0.0627, 0.3118)  3 Sb 2.99-3.06, 1 In 3.06
Er (0.3127, 0.1253, 0.8119)  3 Sb 2.99-3.06, 1 In 3.06
Er (0.4991, 0.6865, 0.8119)  3 Sb 2.99-3.06, 1 In 3.06
Er (0.8747, 0.6872, 0.1881)  3 Sb 2.99-3.06, 1 In 3.06
In (0.2500, 0.7500, 0.5000)  4 Er 3.06
In (0.0000, 0.0001, 0.0000)  4 Er 3.06
Sb (0.6249, 0.3749, 0.7499)  6 Er 2.99-3.06
Sb (0.6251, 0.8750, 0.2500)  6 Er 2.99-3.06
Sb (0.6250, 0.3750, 0.2500)  6 Er 2.99-3.06
Sb (0.1250, 0.3751, 0.7501)  6 Er 2.99-3.06


# Er6InSb3

Er6InSb3 after structural relaxation (PBE, the Alexandria database).

Summary:
The formation energy (no corrections) comes out at -0.759 eV/atom. Its symmetry is No. 63.

Lattice parameters (Å, degrees): 8.3937 8.1030 8.1030 88.65 90.00 90.00
With the nearest neighbours (Å) after each atom.
Sites, in units of the cell vectors:
Er (0.1485, 0.6603, 0.6603)  4 Sb 3.08-3.22, 2 In 3.24
Er (0.6485, 0.6603, 0.6603)  4 Sb 3.08-3.22, 2 In 3.24
Er (0.3986, 0.4985, 0.0032)  3 Sb 3.08-3.18, 1 In 3.12
Er (0.8986, 0.0032, 0.4985)  3 Sb 3.08-3.18, 1 In 3.12
Er (0.1479, 0.1604, 0.8396)  1 In 3.05, 5 Sb 3.09-3.26
Er (0.6492, 0.1605, 0.8395)  1 In 3.05, 5 Sb 3.09-3.26
Er (0.1492, 0.8395, 0.1605)  1 In 3.05, 5 Sb 3.09-3.26
Er (0.6479, 0.8396, 0.1604)  1 In 3.05, 5 Sb 3.09-3.26
Er (0.3986, 0.9968, 0.5015)  3 Sb 3.08-3.18, 1 In 3.12
Er (0.8986, 0.5015, 0.9968)  3 Sb 3.08-3.18, 1 In 3.12
Er (0.1485, 0.3397, 0.3397)  4 Sb 3.08-3.22, 2 In 3.24
Er (0.6485, 0.3397, 0.3397)  4 Sb 3.08-3.22, 2 In 3.24
In (0.8986, 0.3568, 0.6432)  8 Er 3.05-3.24, 1 Sb 3.20
In (0.3986, 0.6432, 0.3568)  8 Er 3.05-3.24, 1 Sb 3.20
Sb (0.3985, 0.8532, 0.8571)  8 Er 3.08-3.26, 1 Sb 3.36
Sb (0.8985, 0.8571, 0.8532)  8 Er 3.08-3.26, 1 Sb 3.36
Sb (0.3985, 0.3606, 0.6394)  8 Er 3.09-3.22, 1 In 3.20
Sb (0.8985, 0.6394, 0.3606)  8 Er 3.09-3.22, 1 In 3.20
Sb (0.8985, 0.1468, 0.1429)  8 Er 3.08-3.26, 1 Sb 3.36
Sb (0.3985, 0.1429, 0.1468)  8 Er 3.08-3.26, 1 Sb 3.36


# Er2InSb

Er2InSb after structural relaxation (PBE, the Alexandria database).

Summary:
The formation energy (no corrections) comes out at -0.622 eV/atom. Its symmetry is No. 166.

Lattice parameters (Å, degrees): 4.1132 4.1132 8.3837 75.80 75.80 60.00
With the nearest neighbours (Å) after each atom.
Sites, in units of the cell vectors:
Sb (0.0000, 0.0000, 0.0000)  6 Er 3.01
In (0.5000, 0.5000, 0.5000)  6 Er 3.22
Er (0.2567, 0.2567, 0.2299)  3 Sb 3.01, 3 In 3.22
Er (0.7433, 0.7433, 0.7701)  3 Sb 3.01, 3 In 3.22


# ErIn2Sb

ErIn2Sb after structural relaxation (PBE, the Alexandria database).

Summary:
The formation energy (no corrections) comes out at -0.396 eV/atom. Its symmetry is No. 123.

Lattice parameters (Å, degrees): 5.0358 4.5235 4.5235 90.00 90.00 90.00
With the nearest neighbours (Å) after each atom.
Sites, in units of the cell vectors:
Sb (0.5000, 0.5000, 0.5000)  4 Er 3.20, 8 In 3.38
In (0.0000, 0.0000, 0.5000)  4 In 3.20, 4 Sb 3.38, 4 Er 3.38
In (0.0000, 0.5000, 0.0000)  4 In 3.20, 4 Sb 3.38, 4 Er 3.38
Er (0.5000, 0.0000, 0.0000)  4 Sb 3.20, 8 In 3.38


# Er8Sc3In

Er8Sc3In after structural relaxation (PBE, the Alexandria database).

Summary:
Its symmetry is No. 121. The value obtained for the total energy is -51.70 eV for the cell shown.

Lattice parameters (Å, degrees): 8.1293 8.1293 8.1293 92.07 118.81 118.81
With the nearest neighbours (Å) after each atom.
Sites, in units of the cell vectors:
Er (0.5218, 0.2898, 0.2898)  1 Sc 2.82, 1 Er 3.04, 1 In 3.07
Er (0.4782, 0.7680, 0.7680)  1 Sc 2.82, 1 Er 3.04, 1 In 3.07
Er (0.0000, 0.7102, 0.2320)  1 Sc 2.82, 1 Er 3.04, 1 In 3.07
Er (0.0000, 0.2320, 0.7102)  1 Sc 2.82, 1 Er 3.04, 1 In 3.07
Er (0.2613, 0.3923, 0.3923)  3 Er 3.04-3.27, 3 Sc 3.09-3.24, 1 In 3.33
Er (0.7387, 0.1310, 0.1310)  3 Er 3.04-3.27, 3 Sc 3.09-3.24, 1 In 3.33
Er (0.0000, 0.6077, 0.8690)  3 Er 3.04-3.27, 3 Sc 3.09-3.24, 1 In 3.33
Er (0.0000, 0.8690, 0.6077)  3 Er 3.04-3.27, 3 Sc 3.09-3.24, 1 In 3.33
Sc (0.5000, 0.7500, 0.2500)  4 Er 3.24
Sc (0.5000, 0.2500, 0.7500)  4 Er 3.24
Sc (0.0000, 0.5000, 0.5000)  8 Er 2.82-3.09
In (0.0000, 0.0000, 0.0000)  8 Er 3.07-3.33


# Er6ScIn

Er6ScIn after structural relaxation (PBE, the Alexandria database).

Summary:
Its symmetry is No. 123. The value obtained for the total energy is -37.38 eV for the cell shown.

Lattice parameters (Å, degrees): 4.8247 4.8247 9.7897 90.00 90.00 90.00
With the nearest neighbours (Å) after each atom.
Sites, in units of the cell vectors:
Er (0.5000, 0.5000, 0.0000)  4 Sc 3.41, 8 Er 3.44
Er (0.5000, 0.5000, 0.5000)  4 In 3.41, 8 Er 3.43
Er (0.5000, 0.0000, 0.2503)  8 Er 3.41-3.44, 2 In 3.43, 2 Sc 3.44
Er (0.5000, 0.0000, 0.7497)  8 Er 3.41-3.44, 2 In 3.43, 2 Sc 3.44
Er (0.0000, 0.5000, 0.2503)  8 Er 3.41-3.44, 2 In 3.43, 2 Sc 3.44
Er (0.0000, 0.5000, 0.7497)  8 Er 3.41-3.44, 2 In 3.43, 2 Sc 3.44
Sc (0.0000, 0.0000, 0.0000)  12 Er 3.41-3.44
In (0.0000, 0.0000, 0.5000)  12 Er 3.41-3.43